Record 1
# Tb2Mg8Sc | Alexandria via LeMat-Bulk | PBE | relaxed
# **E_tot**: -57.30 eV per cell
# **Spin magnetization**: 0.00 μB/f.u.
data_Tb2Mg8Sc
_chemical_formula_sum 'Tb4 Mg16 Sc2'
_cell_length_a 15.9137
_cell_length_b 4.9674
_cell_length_c 7.1690
_cell_angle_alpha 90.00
_cell_angle_beta 107.17
_cell_angle_gamma 90.00
_symmetry_space_group_name_H-M 'C 1 2/m 1'
_symmetry_Int_Tables_number 12
_symmetry_space_group_name_Hall '-C 2y'
loop_
_atom_site_label
_atom_site_fract_x
_atom_site_fract_y
_atom_site_fract_z
Tb1 0.2224 0.0000 0.1450
Mg1 0.0261 0.0000 0.2230
Mg2 0.0876 0.5000 0.9511
Mg3 0.1402 0.0000 0.6469
Mg4 0.1712 0.5000 0.3903
Sc1 0.0000 0.5000 0.5000

---

Record 2
# Al2AgGe | Alexandria via LeMat-Bulk | PBE | relaxed
# **E_tot**: -55.84 eV per cell
# **Spin magnetization**: 0.00 μB/f.u.
data_Al2AgGe
_chemical_formula_sum 'Al8 Ag4 Ge4'
_cell_length_a 7.4036
_cell_length_b 7.4036
_cell_length_c 5.5660
_cell_angle_alpha 90.00
_cell_angle_beta 90.00
_cell_angle_gamma 90.00
_symmetry_space_group_name_H-M 'I -4 2 d'
_symmetry_Int_Tables_number 122
_symmetry_space_group_name_Hall 'I -4 2bw'
loop_
_atom_site_label
_atom_site_fract_x
_atom_site_fract_y
_atom_site_fract_z
Al1 0.2323 0.7500 0.1250
Ag1 0.0000 0.0000 0.5000
Ge1 0.0000 0.0000 0.0000

---

Record 3
# Ba4MgAu3 | Alexandria via LeMat-Bulk | PBE | relaxed
# **E_tot**: -23.51 eV per cell
# **Spin magnetization**: 0.00 μB/f.u.
data_Ba4MgAu3
_chemical_formula_sum 'Ba4 Mg1 Au3'
_cell_length_a 4.6880
_cell_length_b 4.9162
_cell_length_c 12.7761
_cell_angle_alpha 90.00
_cell_angle_beta 90.00
_cell_angle_gamma 90.00
_symmetry_space_group_name_H-M 'P m m 2'
_symmetry_Int_Tables_number 25
_symmetry_space_group_name_Hall 'P 2 -2'
loop_
_atom_site_label
_atom_site_fract_x
_atom_site_fract_y
_atom_site_fract_z
Ba1 0.0000 0.0000 0.0000
Ba2 0.0000 0.5000 0.2586
Ba3 0.5000 0.0000 0.4749
Ba4 0.5000 0.5000 0.7759
Mg1 0.0000 0.0000 0.6828
Au1 0.0000 0.5000 0.5704
Au2 0.5000 0.0000 0.2039
Au3 0.5000 0.5000 0.0539

---

Record 4
# AcTbHg | Alexandria via LeMat-Bulk | PBE | relaxed
# **Energy above the most stable polymorph in this dataset**: 0.87 eV per formula unit
# **E_tot**: -36.56 eV per cell
# **Spin magnetization**: 0.05 μB/f.u.
data_AcTbHg
_chemical_formula_sum 'Ac4 Tb4 Hg4'
_cell_length_a 7.5881
_cell_length_b 7.5881
_cell_length_c 7.5881
_cell_angle_alpha 90.00
_cell_angle_beta 90.00
_cell_angle_gamma 90.00
_symmetry_space_group_name_H-M 'F -4 3 m'
_symmetry_Int_Tables_number 216
_symmetry_space_group_name_Hall 'F -4 2 3'
loop_
_atom_site_label
_atom_site_fract_x
_atom_site_fract_y
_atom_site_fract_z
Ac1 0.0000 0.0000 0.0000
Tb1 0.0000 0.0000 0.5000
Hg1 0.2500 0.2500 0.2500

---

Record 5
# KReSb3 | Alexandria via LeMat-Bulk | PBE | relaxed
# **Energy above the most stable polymorph in this dataset**: 10.94 eV per formula unit
# **Formation energy without anion corrections**: 2.5928 eV per atom
# **E_tot**: -12.95 eV per cell
# **Spin magnetization**: 0.07 μB/f.u.
data_KReSb3
_chemical_formula_sum 'K1 Re1 Sb3'
_cell_length_a 5.4827
_cell_length_b 5.4827
_cell_length_c 5.4827
_cell_angle_alpha 90.00
_cell_angle_beta 90.00
_cell_angle_gamma 90.00
_symmetry_space_group_name_H-M 'P m -3 m'
_symmetry_Int_Tables_number 221
_symmetry_space_group_name_Hall '-P 4 2 3'
loop_
_atom_site_label
_atom_site_fract_x
_atom_site_fract_y
_atom_site_fract_z
K1 0.0000 0.0000 0.0000
Re1 0.5000 0.5000 0.5000
Sb1 0.0000 0.0000 0.5000

---

Record 6
# LiNp2Si4Ir3 | Alexandria via LeMat-Bulk | PBE | relaxed
# **Formation energy without anion corrections**: -0.5907 eV per atom
# **E_tot**: -81.98 eV per cell
# **Spin magnetization**: 7.43 μB/f.u.
data_LiNp2Si4Ir3
_chemical_formula_sum 'Li1 Np2 Si4 Ir3'
_cell_length_a 4.1564
_cell_length_b 4.1564
_cell_length_c 9.7776
_cell_angle_alpha 90.00
_cell_angle_beta 90.00
_cell_angle_gamma 90.00
_symmetry_space_group_name_H-M 'P -4 m 2'
_symmetry_Int_Tables_number 115
_symmetry_space_group_name_Hall 'P -4 -2'
loop_
_atom_site_label
_atom_site_fract_x
_atom_site_fract_y
_atom_site_fract_z
Li1 0.0000 0.0000 0.0000
Np1 0.0000 0.5000 0.7493
Si1 0.0000 0.0000 0.5000
Si2 0.0000 0.5000 0.1300
Si3 0.5000 0.5000 0.5000
Ir1 0.0000 0.5000 0.3724
Ir2 0.5000 0.5000 0.0000